Record 1
An optimized crystal structure of TaNi3Pt6. Source: Alexandria via LeMat-Bulk, functional PBE-GGA. Values from VASP.

Summary:
* calculated formation energy: -0.2917 eV/atom
* energy above the most stable polymorph in this dataset: 0 meV/atom
* magnetic moment: 2.6 μB/f.u.
* theoretical density: 17.33 g cm⁻³
* Fermi-level density of states: 1.310 states/eV per atom

Structure (Quantum ESPRESSO input):
```
&SYSTEM
  ibrav = 0, nat = 20, ntyp = 3
/
ATOMIC_SPECIES
Ta 180.95 Ta.upf
Ni 58.69 Ni.upf
Pt 195.08 Pt.upf
CELL_PARAMETERS angstrom
3.925 0.000 0.000
0.000 8.480 -0.301
0.000 -0.089 8.799
ATOMIC_POSITIONS angstrom
Ta 0.981 7.872 5.156
Ta 2.944 0.520 3.341
Ni 0.981 4.644 3.285
Ni 2.944 3.747 5.212
Ni 0.981 2.892 7.024
Ni 2.944 5.499 1.474
Ni 0.981 6.299 -0.206
Ni 2.944 2.093 8.703
Pt 0.981 3.877 0.738
Pt 2.944 4.515 7.759
Pt 0.981 1.335 1.746
Pt 2.944 7.057 6.751
Pt 0.981 5.282 5.877
Pt 2.944 3.109 2.620
Pt 0.981 2.118 4.423
Pt 2.944 6.274 4.075
Pt 0.981 7.192 2.396
Pt 2.944 1.199 6.101
Pt 0.981 0.415 7.924
Pt 2.944 7.976 0.573
```



Record 2
An optimized crystal structure of TaNi2Pt. Source: Alexandria via LeMat-Bulk, functional PBE-GGA. Values from VASP.

Summary:
* calculated formation energy: -0.3529 eV/atom
* magnetic moment: 0.0 μB/f.u.
* theoretical density: 14.57 g cm⁻³
* Fermi-level density of states: 0.361 states/eV per atom

Structure (Quantum ESPRESSO input):
```
&SYSTEM
  ibrav = 0, nat = 4, ntyp = 3
/
ATOMIC_SPECIES
Ni 58.69 Ni.upf
Pt 195.08 Pt.upf
Ta 180.95 Ta.upf
CELL_PARAMETERS angstrom
-2.137 1.760 -1.729
1.070 -1.400 -2.747
-3.596 -3.828 0.549
ATOMIC_POSITIONS angstrom
Ni -0.039 -0.042 0.006
Ni -1.348 -0.688 -2.114
Pt -1.780 -1.895 0.272
Ta -3.293 -2.757 -1.817
```



Record 3
An optimized crystal structure of TaNi3Pt2. Source: Alexandria via LeMat-Bulk, functional PBE-GGA. Values from VASP.

Summary:
* calculated formation energy: -0.3071 eV/atom
* magnetic moment: 0.0 μB/f.u.
* theoretical density: 15.02 g cm⁻³
* Fermi-level density of states: 1.348 states/eV per atom

Structure (Quantum ESPRESSO input):
```
&SYSTEM
  ibrav = 0, nat = 12, ntyp = 3
/
ATOMIC_SPECIES
Ta 180.95 Ta.upf
Ni 58.69 Ni.upf
Pt 195.08 Pt.upf
CELL_PARAMETERS angstrom
4.041 0.000 0.000
0.000 7.876 0.000
0.000 0.000 5.192
ATOMIC_POSITIONS angstrom
Ta 0.000 0.000 2.596
Ta 2.020 3.938 0.000
Ni 0.000 0.000 0.000
Ni 2.020 3.938 2.596
Ni 2.020 6.773 4.002
Ni 2.020 1.103 1.190
Ni 0.000 2.835 3.786
Ni 0.000 5.041 1.406
Pt 2.020 6.498 1.316
Pt 0.000 2.560 1.280
Pt 0.000 5.316 3.913
Pt 2.020 1.378 3.876
```